(1)
Below is an optimized crystal structure of CdInAsSe2, with properties calculated at the PBE-GGA level.

```
data_CdInAsSe2
_space_group_name_H-M_alt 'P 4/m m m'
_space_group_IT_number 123
_space_group_name_Hall '-P 4 2'
_cell_length_a 5.370
_cell_length_b 5.370
_cell_length_c 5.276
_cell_angle_alpha 90.00
_cell_angle_beta 90.00
_cell_angle_gamma 90.00
loop_
_atom_site_label
_atom_site_type_symbol
_atom_site_fract_x
_atom_site_fract_y
_atom_site_fract_z
Cd1 Cd 0.000 0.000 0.000
In1 In 0.500 0.500 0.500
As1 As 0.000 0.000 0.500
Se1 Se 0.000 0.500 0.000
```

* size of the total moment: 1.24 μB per cell
* energy relative to the lowest polymorph listed for this composition: 0.0 meV per atom
* N(E_F): 5.2 states/eV per cell


(2)
Below is an optimized crystal structure of ZnNi3Pt, with properties calculated at the PBE-GGA level.

```
data_ZnNi3Pt
_space_group_name_H-M_alt 'P m -3 m'
_space_group_IT_number 221
_space_group_name_Hall '-P 4 2 3'
_cell_length_a 4.603
_cell_length_b 4.603
_cell_length_c 4.603
_cell_angle_alpha 90.00
_cell_angle_beta 90.00
_cell_angle_gamma 90.00
loop_
_atom_site_label
_atom_site_type_symbol
_atom_site_fract_x
_atom_site_fract_y
_atom_site_fract_z
Zn1 Zn 0.000 0.000 0.000
Ni1 Ni 0.000 0.500 0.500
Pt1 Pt 0.500 0.500 0.500
```

* energy of formation: 24.861 kcal/mol of atoms
* size of the total moment: 2.73 μB per cell
* energy relative to the lowest polymorph listed for this composition: 1168.1 meV per atom
* N(E_F): 8.8 states/eV per cell


(3)
Below is an optimized crystal structure of Ac2LaNd3Se6, with properties calculated at the PBE-GGA level.

```
data_Ac2LaNd3Se6
_space_group_name_H-M_alt 'C 1 2/m 1'
_space_group_IT_number 12
_space_group_name_Hall '-C 2y'
_cell_length_a 7.475
_cell_length_b 12.987
_cell_length_c 7.492
_cell_angle_alpha 90.00
_cell_angle_beta 109.54
_cell_angle_gamma 90.00
loop_
_atom_site_label
_atom_site_type_symbol
_atom_site_fract_x
_atom_site_fract_y
_atom_site_fract_z
Ac1 Ac 0.000 0.166 0.000
La1 La 0.000 0.500 0.000
Nd1 Nd 0.000 0.000 0.500
Nd2 Nd 0.000 0.331 0.500
Se1 Se 0.240 0.500 0.737
Se2 Se 0.249 0.164 0.740
```

* size of the total moment: 0.00 μB per cell
* N(E_F): 12.6 states/eV per cell
* uncorrected energy: -5.903 eV per atom


(4)
Below is an optimized crystal structure of Cs2Sr2Br, with properties calculated at the PBE-GGA level.

```
data_Cs2Sr2Br
_space_group_name_H-M_alt 'I 4/m m m'
_space_group_IT_number 139
_space_group_name_Hall '-I 4 2'
_cell_length_a 5.209
_cell_length_b 5.209
_cell_length_c 25.188
_cell_angle_alpha 90.00
_cell_angle_beta 90.00
_cell_angle_gamma 90.00
loop_
_atom_site_label
_atom_site_type_symbol
_atom_site_fract_x
_atom_site_fract_y
_atom_site_fract_z
Cs1 Cs 0.000 0.000 0.081
Sr1 Sr 0.000 0.500 0.250
Br1 Br 0.000 0.000 0.500
```

* size of the total moment: 0.00 μB per cell
* energy relative to the lowest polymorph listed for this composition: 0.0 meV per atom
* N(E_F): 8.9 states/eV per cell


(5)
Below is an optimized crystal structure of SnPd4Au3, with properties calculated at the PBE-GGA level.

```
data_SnPd4Au3
_space_group_name_H-M_alt 'C 1 2/m 1'
_space_group_IT_number 12
_space_group_name_Hall '-C 2y'
_cell_length_a 5.985
_cell_length_b 5.990
_cell_length_c 8.129
_cell_angle_alpha 90.00
_cell_angle_beta 111.51
_cell_angle_gamma 90.00
loop_
_atom_site_label
_atom_site_type_symbol
_atom_site_fract_x
_atom_site_fract_y
_atom_site_fract_z
Sn1 Sn 0.000 0.000 0.000
Pd1 Pd 0.127 0.250 0.754
Au1 Au 0.000 0.500 0.000
Au2 Au 0.249 0.500 0.497
```

* energy of formation: -6.344 kcal/mol of atoms
* size of the total moment: 0.00 μB per cell
* energy relative to the lowest polymorph listed for this composition: 0.0 meV per atom
* N(E_F): 4.2 states/eV per cell


(6)
Below is an optimized crystal structure of PmY4Tm2, with properties calculated at the PBE-GGA level.

```
data_PmY4Tm2
_space_group_name_H-M_alt 'P 1 21/m 1'
_space_group_IT_number 11
_space_group_name_Hall '-P 2yb'
_cell_length_a 6.033
_cell_length_b 6.619
_cell_length_c 11.586
_cell_angle_alpha 90.00
_cell_angle_beta 104.00
_cell_angle_gamma 90.00
loop_
_atom_site_label
_atom_site_type_symbol
_atom_site_fract_x
_atom_site_fract_y
_atom_site_fract_z
Pm1 Pm 0.039 0.250 0.366
Y1 Y 0.142 0.250 0.663
Y2 Y 0.271 0.750 0.920
Y3 Y 0.342 0.507 0.210
Tm1 Tm 0.165 0.250 0.947
Tm2 Tm 0.401 0.750 0.508
```

* energy of formation: 2.996 kcal/mol of atoms
* size of the total moment: 0.00 μB per cell
* energy relative to the lowest polymorph listed for this composition: 102.0 meV per atom
* N(E_F): 24.3 states/eV per cell


(7)
Below is an optimized crystal structure of Sm2HgB2Rh5, with properties calculated at the PBE-GGA level.

```
data_Sm2HgB2Rh5
_space_group_name_H-M_alt 'P 4/m b m'
_space_group_IT_number 127
_space_group_name_Hall '-P 4 2ab'
_cell_length_a 9.778
_cell_length_b 9.778
_cell_length_c 3.259
_cell_angle_alpha 90.00
_cell_angle_beta 90.00
_cell_angle_gamma 90.00
loop_
_atom_site_label
_atom_site_type_symbol
_atom_site_fract_x
_atom_site_fract_y
_atom_site_fract_z
Sm1 Sm 0.177 0.323 0.000
Hg1 Hg 0.000 0.000 0.000
B1 B 0.121 0.621 0.000
Rh1 Rh 0.000 0.500 0.500
Rh2 Rh 0.070 0.770 0.500
```

* energy of formation: -14.233 kcal/mol of atoms
* size of the total moment: 0.00 μB per cell
* N(E_F): 8.0 states/eV per cell


(8)
Below is an optimized crystal structure of AcSmN2, with properties calculated at the PBE-GGA level.

```
data_AcSmN2
_space_group_name_H-M_alt 'P -3 m 1'
_space_group_IT_number 164
_space_group_name_Hall '-P 3 2"'
_cell_length_a 3.6534
_cell_length_b 3.6534
_cell_length_c 6.4523
_cell_angle_alpha 90.00
_cell_angle_beta 90.00
_cell_angle_gamma 120.00
loop_
_atom_site_label
_atom_site_type_symbol
_atom_site_fract_x
_atom_site_fract_y
_atom_site_fract_z
Ac1 Ac 0.0000 0.0000 0.0000
Sm1 Sm 0.0000 0.0000 0.5000
N1 N 0.3333 0.6667 0.7348
```

* size of the total moment: 0.00 μB per cell
* energy relative to the lowest polymorph listed for this composition: 285.6 meV per atom
* N(E_F): 0.3 states/eV per cell


(9)
Below is an optimized crystal structure of LaF3, with properties calculated at the PBE-GGA level.

```
data_LaF3
_space_group_name_H-M_alt 'I 4/m m m'
_space_group_IT_number 139
_space_group_name_Hall '-I 4 2'
_cell_length_a 3.883
_cell_length_b 3.883
_cell_length_c 6.654
_cell_angle_alpha 90.00
_cell_angle_beta 90.00
_cell_angle_gamma 90.00
loop_
_atom_site_label
_atom_site_type_symbol
_atom_site_fract_x
_atom_site_fract_y
_atom_site_fract_z
La1 La 0.000 0.000 0.000
F1 F 0.000 0.000 0.500
F2 F 0.000 0.500 0.250
```

* size of the total moment: 0.10 μB per cell
* N(E_F): 0.0 states/eV per cell
* uncorrected energy: -6.640 eV per atom


(10)
Below is an optimized crystal structure of Tb12Nd7Ho, with properties calculated at the PBE-GGA level.

```
data_Tb12Nd7Ho
_space_group_name_H-M_alt 'I m -3 m'
_space_group_IT_number 229
_space_group_name_Hall '-I 4 2 3'
_cell_length_a 11.375
_cell_length_b 11.375
_cell_length_c 11.375
_cell_angle_alpha 90.00
_cell_angle_beta 90.00
_cell_angle_gamma 90.00
loop_
_atom_site_label
_atom_site_type_symbol
_atom_site_fract_x
_atom_site_fract_y
_atom_site_fract_z
Tb1 Tb 0.000 0.246 0.246
Nd1 Nd 0.000 0.000 0.500
Nd2 Nd 0.250 0.250 0.250
Ho1 Ho 0.000 0.000 0.000
```

* energy of formation: 14.522 kcal/mol of atoms
* size of the total moment: 0.00 μB per cell
* energy relative to the lowest polymorph listed for this composition: 400.2 meV per atom
* N(E_F): 55.5 states/eV per cell


(11)
Below is an optimized crystal structure of Sm3Ag4Au4, with properties calculated at the PBE-GGA level.

```
data_Sm3Ag4Au4
_space_group_name_H-M_alt 'P -1'
_space_group_IT_number 2
_space_group_name_Hall '-P 1'
_cell_length_a 3.525
_cell_length_b 4.605
_cell_length_c 15.384
_cell_angle_alpha 98.60
_cell_angle_beta 96.48
_cell_angle_gamma 90.00
loop_
_atom_site_label
_atom_site_type_symbol
_atom_site_fract_x
_atom_site_fract_y
_atom_site_fract_z
Sm1 Sm 0.000 0.000 0.000
Sm2 Sm 0.142 0.641 0.283
Ag1 Ag 0.260 0.260 0.520
Ag2 Ag 0.406 0.906 0.812
Au1 Au 0.315 0.816 0.631
Au2 Au 0.454 0.454 0.907
```

* energy of formation: -10.711 kcal/mol of atoms
* size of the total moment: 0.00 μB per cell
* N(E_F): 5.4 states/eV per cell


(12)
Below is an optimized crystal structure of BeCl2, with properties calculated at the PBE-GGA level.

```
data_BeCl2
_space_group_name_H-M_alt 'P 1'
_space_group_IT_number 1
_space_group_name_Hall 'P 1'
_cell_length_a 3.348
_cell_length_b 5.748
_cell_length_c 7.381
_cell_angle_alpha 90.04
_cell_angle_beta 102.83
_cell_angle_gamma 90.03
loop_
_atom_site_label
_atom_site_type_symbol
_atom_site_fract_x
_atom_site_fract_y
_atom_site_fract_z
Be1 Be 0.000 0.000 0.000
Be2 Be 0.134 0.500 0.279
Cl1 Cl 0.009 0.356 0.022
Cl2 Cl 0.125 0.856 0.257
Cl3 Cl 0.426 0.906 0.851
Cl4 Cl 0.707 0.407 0.428
```

* size of the total moment: 0.00 μB per cell
* energy relative to the lowest polymorph listed for this composition: 43.8 meV per atom
* N(E_F): 0.0 states/eV per cell


What is the N(E_F) in the third record?
12.6 states/eV per cell


Which value of N(E_F) does entry 10 give?
55.5 states/eV per cell


Please write out number 4 again, unchanged.
Below is an optimized crystal structure of Cs2Sr2Br, with properties calculated at the PBE-GGA level.

```
data_Cs2Sr2Br
_space_group_name_H-M_alt 'I 4/m m m'
_space_group_IT_number 139
_space_group_name_Hall '-I 4 2'
_cell_length_a 5.209
_cell_length_b 5.209
_cell_length_c 25.188
_cell_angle_alpha 90.00
_cell_angle_beta 90.00
_cell_angle_gamma 90.00
loop_
_atom_site_label
_atom_site_type_symbol
_atom_site_fract_x
_atom_site_fract_y
_atom_site_fract_z
Cs1 Cs 0.000 0.000 0.081
Sr1 Sr 0.000 0.500 0.250
Br1 Br 0.000 0.000 0.500
```

* size of the total moment: 0.00 μB per cell
* energy relative to the lowest polymorph listed for this composition: 0.0 meV per atom
* N(E_F): 8.9 states/eV per cell